GGA-PBE MgBiH2, optimized geometry; uncorrected energy = -2.48 eV per atom; volume = 14.5 Å³/atom; symmetry = No. 225; E above lowest polymorph = 395.8 meV per atom
1.0
0.0000 3.0736 3.0736
3.0736 0.0000 3.0736
3.0736 3.0736 0.0000
H Mg Bi
2 1 1
direct
0.2500 0.2500 0.2500
0.7500 0.7500 0.7500
0.0000 0.0000 0.0000
0.5000 0.5000 0.5000

---

GGA-PBE Mg3BiH, optimized geometry; uncorrected energy = -2.39 eV per atom; volume = 19.9 Å³/atom; symmetry = No. 221; E above lowest polymorph = 122.6 meV per atom
1.0
4.6361 0.0000 0.0000
0.0000 4.6361 0.0000
0.0000 0.0000 4.6361
H Mg Bi
1 3 1
direct
0.0000 0.0000 0.0000
0.0000 0.5000 0.0000
0.0000 0.0000 0.5000
0.5000 0.0000 0.0000
0.5000 0.5000 0.5000

---

GGA-PBE Na2Mg5Bi3H2, optimized geometry; uncorrected energy = -2.62 eV per atom; volume = 22.5 Å³/atom; symmetry = No. 139
1.0
4.5578 0.0000 0.0000
0.0000 4.5578 0.0000
-2.2789 -2.2789 13.0245
Na Mg Bi H
2 5 3 2
direct
0.7049 0.7049 0.4099
0.2951 0.2951 0.5901
0.5947 0.0947 0.1895
0.4053 0.9053 0.8105
0.0947 0.5947 0.1895
0.9053 0.4053 0.8105
0.5000 0.5000 0.0000
0.1687 0.1687 0.3374
0.8313 0.8313 0.6626
0.0000 0.0000 0.0000
0.4206 0.4206 0.8412
0.5794 0.5794 0.1588

---

no.,spin magnetization (μB per formula unit)
1,0.0
2,0.0
3,0.0